No. 1
Compound: NdHoTlTe
Source: Alexandria
Functional: GGA-PBE
Structure: optimized geometry

Output
* density of states at the Fermi level: 2.017 states/eV/cell
* raw formation energy: -3.318 eV/f.u.

a = 8.299 Å, b = 8.299 Å, c = 8.299 Å
α = 29.67°, β = 29.67°, γ = 29.67°
Atoms (fractional coordinates):
Nd (0.000, 0.000, 0.000)
Ho (0.503, 0.503, 0.503)
Tl (0.754, 0.754, 0.754)
Te (0.248, 0.248, 0.248)

=====

No. 2
Compound: Nd2Ho3TmTe6
Source: Alexandria
Functional: GGA-PBE
Structure: optimized geometry

Output
* density of states at the Fermi level: 6.737 states/eV/cell
* raw formation energy: -15.540 eV/f.u.

a = 9.829 Å, b = 9.829 Å, c = 8.833 Å
α = 102.66°, β = 102.66°, γ = 25.52°
Atoms (fractional coordinates):
Nd (0.172, 0.172, 0.338)
Nd (0.828, 0.828, 0.662)
Ho (0.175, 0.175, 0.836)
Ho (0.500, 0.500, 0.500)
Ho (0.825, 0.825, 0.164)
Tm (0.500, 0.500, 0.000)
Te (0.004, 0.004, 0.755)
Te (0.338, 0.338, 0.929)
Te (0.339, 0.339, 0.410)
Te (0.661, 0.661, 0.590)
Te (0.662, 0.662, 0.071)
Te (0.996, 0.996, 0.245)

=====

No. 3
Compound: Nd2HoTmTe6
Source: Alexandria
Functional: GGA-PBE
Structure: optimized geometry

Output
* raw formation energy: -13.595 eV/f.u.

a = 8.362 Å, b = 8.362 Å, c = 8.362 Å
α = 55.70°, β = 55.70°, γ = 55.70°
Atoms (fractional coordinates):
Nd (0.000, 0.000, 0.000)
Nd (0.500, 0.500, 0.500)
Ho (0.690, 0.690, 0.690)
Tm (0.190, 0.190, 0.190)
Te (0.079, 0.419, 0.802)
Te (0.299, 0.921, 0.578)
Te (0.419, 0.802, 0.079)
Te (0.578, 0.299, 0.921)
Te (0.802, 0.079, 0.419)
Te (0.921, 0.578, 0.299)

=====

No. 4
Compound: Nd3Ho2TmTe6
Source: Alexandria
Functional: GGA-PBE
Structure: optimized geometry

Output
* density of states at the Fermi level: 5.758 states/eV/cell
* raw formation energy: -15.948 eV/f.u.

a = 9.940 Å, b = 9.940 Å, c = 8.957 Å
α = 105.01°, β = 105.01°, γ = 25.28°
Atoms (fractional coordinates):
Nd (0.000, 0.000, 0.000)
Nd (0.332, 0.332, 0.666)
Nd (0.668, 0.668, 0.334)
Ho (0.332, 0.332, 0.165)
Ho (0.668, 0.668, 0.835)
Tm (0.000, 0.000, 0.500)
Te (0.162, 0.162, 0.591)
Te (0.169, 0.169, 0.076)
Te (0.497, 0.497, 0.260)
Te (0.503, 0.503, 0.740)
Te (0.831, 0.831, 0.924)
Te (0.838, 0.838, 0.409)